No. 1
DFT (PBE-GGA) results for an optimized crystal structure of SrNiSb2N.

Results
- total energy (eV per cell) = -24.05
- M_tot (μB/f.u.) = 0.000
- uncorrected formation energy (eV/atom) = 0.00

Cell: 5.802 5.802 3.421 Å, 90.00 90.00 90.00°
Space group P4/mmm (No. 123)
One atom of each set of equivalent atoms:
Sr1 0.000 0.000 0.000
Ni1 0.500 0.500 0.500
Sb1 0.000 0.500 0.500
N1 0.500 0.500 0.000


No. 2
DFT (PBE-GGA) results for an optimized crystal structure of Sr2NiSbN.

Results
- total energy (eV per cell) = -24.94
- M_tot (μB/f.u.) = 0.000
- uncorrected formation energy (eV/atom) = -0.67

Cell: 5.720 5.720 3.558 Å, 90.00 90.00 90.00°
Space group P4/mmm (No. 123)
One atom of each set of equivalent atoms:
Sr1 0.000 0.500 0.000
Ni1 0.000 0.000 0.500
Sb1 0.500 0.500 0.500
N1 0.000 0.000 0.000


No. 3
DFT (PBE-GGA) results for an optimized crystal structure of NiSbTe2N.

Results
- total energy (eV per cell) = -18.42
- polymorph energy (0 for the lowest one) (meV/atom) = 774.0
- M_tot (μB/f.u.) = 1.026
- uncorrected formation energy (eV/atom) = 1.22

Cell: 5.796 5.796 3.842 Å, 90.00 90.00 90.00°
Space group P4/mmm (No. 123)
One atom of each set of equivalent atoms:
Ni1 0.000 0.000 0.000
Sb1 0.500 0.500 0.500
Te1 0.000 0.500 0.500
N1 0.500 0.500 0.000